Entry from the Alexandria database: an optimized crystal structure of NiAsBr2F (PBE with a Hubbard U).

abc: 5.597 5.597 3.833
angles: 90.00 90.00 90.00
Fractional coordinates of all 5 atoms:
Ni: 0.500 0.500 0.500
As: 0.000 0.000 0.500
Br: 0.000 0.500 0.000
Br: 0.500 0.000 0.000
F: 0.000 0.000 0.000

Calculated values
For the density of states at the Fermi level, the calculation gives 0.1878 states/eV per atom. For the magnetization, the calculation gives 0.201 μB per atom. The polymorph energy (0 for the lowest one) is 0.000 eV/atom. Its space group is No. 123. As for the crystal system: tetragonal.